# 1
Entry from the Alexandria database: a geometry-optimized AcAsPd4 structure (PBE-GGA).

excess energy over the best structure of this formula in the dataset: 175 meV/atom
total moment: 0.0 μB per formula unit
DOS at the Fermi energy: 7.608 states/eV/f.u.
calculated formation energy: -442 meV per atom

Unit cell a=5.494 b=5.494 c=5.494 alpha=60.00 beta=60.00 gamma=60.00
Fractional coordinates of all 6 atoms:
Pd: 0.124 0.625 0.625
Pd: 0.625 0.625 0.124
Pd: 0.625 0.625 0.625
Pd: 0.625 0.124 0.625
As: 0.000 0.000 0.000
Ac: 0.250 0.250 0.250

# 2
Entry from the Alexandria database: a geometry-optimized Rb2FePdSe4 structure (PBE-GGA).

formation energy from raw total energies: -631 meV per atom
total moment: 2.4 μB per formula unit
DOS at the Fermi energy: 3.576 states/eV/f.u.

Unit cell a=5.829 b=7.573 c=11.906 alpha=84.59 beta=75.83 gamma=67.36
Fractional coordinates of all 16 atoms:
Fe: 0.500 0.000 0.000
Fe: 0.250 0.500 0.500
Se: 0.311 0.810 0.119
Se: 0.509 0.310 0.619
Se: 0.439 0.690 0.381
Se: 0.569 0.190 0.119
Se: 0.241 0.190 0.881
Se: 0.871 0.690 0.619
Se: 0.181 0.310 0.381
Se: 0.879 0.810 0.881
Pd: 0.000 0.000 0.000
Pd: 0.750 0.500 0.500
Rb: 0.183 0.000 0.634
Rb: 0.933 0.500 0.134
Rb: 0.567 0.500 0.866
Rb: 0.817 0.000 0.366

# 3
Entry from the Alexandria database: a geometry-optimized Dy4YHo6 structure (PBE-GGA).

excess energy over the best structure of this formula in the dataset: 0 meV/atom
total moment: 0.0 μB per formula unit
DOS at the Fermi energy: 19.956 states/eV/f.u.
calculated formation energy: 127 meV per atom

Unit cell a=5.665 b=5.571 c=25.531 alpha=90.00 beta=90.00 gamma=120.56
Fractional coordinates of all 22 atoms:
Ho: 0.481 0.961 0.250
Ho: 0.189 0.377 0.604
Ho: 0.811 0.623 0.104
Ho: 0.519 0.039 0.750
Ho: 0.500 0.000 0.500
Ho: 0.145 0.290 0.318
Ho: 0.811 0.623 0.396
Ho: 0.500 0.000 0.000
Ho: 0.145 0.290 0.182
Ho: 0.189 0.377 0.896
Ho: 0.855 0.710 0.682
Ho: 0.855 0.710 0.818
Dy: 0.842 0.684 0.543
Dy: 0.473 0.946 0.379
Dy: 0.842 0.684 0.957
Dy: 0.527 0.054 0.879
Dy: 0.473 0.946 0.121
Dy: 0.158 0.316 0.457
Dy: 0.158 0.316 0.043
Dy: 0.527 0.054 0.621
Y: 0.815 0.630 0.250
Y: 0.185 0.370 0.750

# 4
Entry from the Alexandria database: a geometry-optimized Tb2Ag3Au structure (PBE-GGA).

total moment: 0.0 μB per formula unit
DOS at the Fermi energy: 4.507 states/eV/f.u.
calculated formation energy: -395 meV per atom

Unit cell a=3.466 b=4.777 c=8.151 alpha=90.00 beta=90.00 gamma=90.00
Fractional coordinates of all 6 atoms:
Ag: 0.500 0.500 0.672
Ag: 0.500 0.000 0.163
Ag: 0.500 0.000 0.830
Tb: 0.000 0.500 0.012
Tb: 0.000 0.000 0.489
Au: 0.500 0.500 0.334

# 5
Entry from the Alexandria database: a geometry-optimized La2Tb5Tm2 structure (PBE-GGA).

excess energy over the best structure of this formula in the dataset: 102 meV/atom
total moment: 0.0 μB per formula unit
DOS at the Fermi energy: 14.761 states/eV/f.u.
calculated formation energy: 209 meV per atom

Unit cell a=11.913 b=6.745 c=10.132 alpha=109.44 beta=126.01 gamma=90.00
Fractional coordinates of all 18 atoms:
Tb: 0.589 0.239 0.713
Tb: 0.411 0.526 0.287
Tb: 0.194 0.152 0.895
Tb: 0.009 0.662 0.500
Tb: 0.624 0.739 0.713
Tb: 0.806 0.257 0.105
Tb: 0.800 0.757 0.105
Tb: 0.200 0.652 0.895
Tb: 0.376 0.026 0.287
Tb: 0.991 0.162 0.500
Tm: 0.000 0.023 0.000
Tm: 0.741 0.852 0.500
Tm: 0.500 0.523 0.000
Tm: 0.259 0.352 0.500
La: 0.129 0.690 0.253
La: 0.624 0.190 0.253
La: 0.871 0.437 0.747
La: 0.376 0.937 0.747

# 6
Entry from the Alexandria database: a geometry-optimized Sc4Zn2CdGa structure (PBE-GGA).

total moment: 0.0 μB per formula unit
DOS at the Fermi energy: 7.559 states/eV/f.u.
calculated formation energy: -414 meV per atom

Unit cell a=4.809 b=4.809 c=8.328 alpha=73.22 beta=73.22 gamma=60.00
Fractional coordinates of all 8 atoms:
Zn: 0.746 0.746 0.761
Zn: 0.254 0.254 0.239
Sc: 0.129 0.129 0.614
Sc: 0.871 0.871 0.386
Sc: 0.621 0.621 0.137
Sc: 0.379 0.379 0.863
Cd: 0.000 0.000 0.000
Ga: 0.500 0.500 0.500

# 7
Entry from the Alexandria database: a geometry-optimized CrTeP2 structure (PBE-GGA).

formation energy from raw total energies: 40 meV per atom
total moment: 0.2 μB per formula unit
DOS at the Fermi energy: 1.826 states/eV/f.u.

Unit cell a=3.305 b=3.305 c=7.276 alpha=89.10 beta=90.00 gamma=90.00
Fractional coordinates of all 4 atoms:
P: 0.000 0.869 0.050
P: 0.500 0.369 0.050
Cr: 0.500 0.878 0.800
Te: 0.000 0.385 0.599

# 8
Entry from the Alexandria database: a geometry-optimized CaLaNdCd structure (PBE-GGA).

excess energy over the best structure of this formula in the dataset: 80 meV/atom
total moment: 0.0 μB per formula unit
DOS at the Fermi energy: 4.964 states/eV/f.u.
calculated formation energy: -62 meV per atom

Unit cell a=5.694 b=5.694 c=5.694 alpha=60.00 beta=60.00 gamma=60.00
Fractional coordinates of all 4 atoms:
Cd: 0.750 0.750 0.750
La: 0.000 0.000 0.000
Ca: 0.250 0.250 0.250
Nd: 0.500 0.500 0.500